Crystalline ReRu2 at its relaxed geometry. Source: the Alexandria database, functional GGA-PBEsol.

abc: 3.1946 3.1946 4.7202
angles: 109.78 109.78 90.00
Element x y z (fractional)
1 Re 0.0000 0.0000 0.0000
2 Ru 0.6630 0.6630 0.3260
3 Ru 0.3370 0.3370 0.6740

Calculated values
- M_tot: 0.8 μB/cell
- E above lowest polymorph: 0.547 eV per atom
- N(E_F): 4.1 states/eV/cell